1.
Computed, not measured: a relaxed ErGa3Ag3 crystal at the GGA-PBE level of DFT.

Results
Volume, Å³ per cell: 263.59
SG: No. 11
Excess energy over the best structure of this formula in the dataset, meV/atom: 0
Formation enthalpy at 0 K, eV per atom: -0.23
D(E_F), states/eV/cell: 4.66
M_tot, μB/atom: 0.0000

Structure (CIF):
```
data_ErGa3Ag3
_space_group_name_H-M_alt 'P 1'
_space_group_IT_number 1
_cell_length_a 6.6411
_cell_length_b 4.3138
_cell_length_c 9.5488
_cell_angle_alpha 90.00
_cell_angle_beta 105.52
_cell_angle_gamma 90.00
loop_
_space_group_symop_operation_xyz
'x,y,z'
loop_
_atom_site_label
_atom_site_type_symbol
_atom_site_fract_x
_atom_site_fract_y
_atom_site_fract_z
Er1 Er 0.2351 0.2500 0.1136
Er2 Er 0.7649 0.7500 0.8864
Ga1 Ga 0.2220 0.7500 0.8992
Ga2 Ga 0.4042 0.7500 0.3856
Ga3 Ga 0.4398 0.2500 0.8453
Ga4 Ga 0.5602 0.7500 0.1547
Ga5 Ga 0.5958 0.2500 0.6144
Ga6 Ga 0.7780 0.2500 0.1008
Ag1 Ag 0.0128 0.2500 0.7446
Ag2 Ag 0.1398 0.2500 0.4534
Ag3 Ag 0.3274 0.7500 0.6473
Ag4 Ag 0.6726 0.2500 0.3527
Ag5 Ag 0.8602 0.7500 0.5466
Ag6 Ag 0.9872 0.7500 0.2554
```

---

2.
Computed, not measured: a relaxed Er2GaAg3 crystal at the GGA-PBE level of DFT.

Results
Volume, Å³ per cell: 255.82
SG: No. 69
Excess energy over the best structure of this formula in the dataset, meV/atom: 0
Formation enthalpy at 0 K, eV per atom: -0.35
D(E_F), states/eV/cell: 7.15
M_tot, μB/atom: 0.0000

Structure (CIF):
```
data_Er2GaAg3
_space_group_name_H-M_alt 'P 1'
_space_group_IT_number 1
_cell_length_a 9.3726
_cell_length_b 8.8021
_cell_length_c 5.7559
_cell_angle_alpha 77.02
_cell_angle_beta 66.22
_cell_angle_gamma 36.76
loop_
_space_group_symop_operation_xyz
'x,y,z'
loop_
_atom_site_label
_atom_site_type_symbol
_atom_site_fract_x
_atom_site_fract_y
_atom_site_fract_z
Er1 Er 0.2470 0.7530 0.7530
Er2 Er 0.2500 0.2500 0.2500
Er3 Er 0.7500 0.7500 0.7500
Er4 Er 0.7530 0.2470 0.2470
Ga1 Ga 0.3336 0.3336 0.6664
Ga2 Ga 0.6664 0.6664 0.3336
Ag1 Ag 0.1708 0.1708 0.8292
Ag2 Ag 0.1711 0.6590 0.3410
Ag3 Ag 0.3410 0.8289 0.1711
Ag4 Ag 0.6590 0.1711 0.8289
Ag5 Ag 0.8289 0.3410 0.6590
Ag6 Ag 0.8292 0.8292 0.1708
```

---

3.
Computed, not measured: a relaxed ErGa3Ag crystal at the GGA-PBE level of DFT.

Results
Volume, Å³ per cell: 204.58
SG: No. 65
Formation enthalpy at 0 K, eV per atom: -0.30
D(E_F), states/eV/cell: 4.81
M_tot, μB/atom: 0.0000

Structure (CIF):
```
data_ErGa3Ag
_space_group_name_H-M_alt 'P 1'
_space_group_IT_number 1
_cell_length_a 12.2728
_cell_length_b 12.2728
_cell_length_c 4.0754
_cell_angle_alpha 90.00
_cell_angle_beta 90.00
_cell_angle_gamma 160.53
loop_
_space_group_symop_operation_xyz
'x,y,z'
loop_
_atom_site_label
_atom_site_type_symbol
_atom_site_fract_x
_atom_site_fract_y
_atom_site_fract_z
Er1 Er 0.1754 0.8246 0.0000
Er2 Er 0.8246 0.1754 0.0000
Ga1 Ga 0.0522 0.9478 0.5000
Ga2 Ga 0.2764 0.7236 0.5000
Ga3 Ga 0.4487 0.5513 0.0000
Ga4 Ga 0.5513 0.4487 0.0000
Ga5 Ga 0.7236 0.2764 0.5000
Ga6 Ga 0.9478 0.0522 0.5000
Ag1 Ag 0.3801 0.6199 0.5000
Ag2 Ag 0.6199 0.3801 0.5000
```

---

4.
Computed, not measured: a relaxed Er3Ga7Ag2 crystal at the GGA-PBE level of DFT.

Results
Volume, Å³ per cell: 240.59
SG: No. 10
Formation enthalpy at 0 K, eV per atom: -0.42
D(E_F), states/eV/cell: 5.80
M_tot, μB/atom: 0.0000

Structure (CIF):
```
data_Er3Ga7Ag2
_space_group_name_H-M_alt 'P 1'
_space_group_IT_number 1
_cell_length_a 4.1935
_cell_length_b 4.2000
_cell_length_c 13.8197
_cell_angle_alpha 90.00
_cell_angle_beta 98.73
_cell_angle_gamma 90.00
loop_
_space_group_symop_operation_xyz
'x,y,z'
loop_
_atom_site_label
_atom_site_type_symbol
_atom_site_fract_x
_atom_site_fract_y
_atom_site_fract_z
Er1 Er 0.0000 0.0000 0.0000
Er2 Er 0.3128 0.5000 0.6257
Er3 Er 0.6872 0.5000 0.3743
Ga1 Ga 0.0819 0.5000 0.1570
Ga2 Ga 0.2267 0.0000 0.4533
Ga3 Ga 0.4210 0.0000 0.8430
Ga4 Ga 0.5000 0.5000 0.0000
Ga5 Ga 0.5790 0.0000 0.1570
Ga6 Ga 0.7733 0.0000 0.5467
Ga7 Ga 0.9181 0.5000 0.8430
Ag1 Ag 0.1357 0.0000 0.2704
Ag2 Ag 0.8643 0.0000 0.7296
```

---

5.
Computed, not measured: a relaxed Er4Ga12Ag crystal at the GGA-PBE level of DFT.

Results
Volume, Å³ per cell: 324.27
SG: No. 229
Formation enthalpy at 0 K, eV per atom: -0.49
D(E_F), states/eV/cell: 7.37
M_tot, μB/atom: 0.0000

Structure (CIF):
```
data_Er4Ga12Ag
_space_group_name_H-M_alt 'P 1'
_space_group_IT_number 1
_cell_length_a 7.4962
_cell_length_b 7.4962
_cell_length_c 7.4962
_cell_angle_alpha 109.47
_cell_angle_beta 109.47
_cell_angle_gamma 109.47
loop_
_space_group_symop_operation_xyz
'x,y,z'
loop_
_atom_site_label
_atom_site_type_symbol
_atom_site_fract_x
_atom_site_fract_y
_atom_site_fract_z
Er1 Er 0.0000 0.0000 0.5000
Er2 Er 0.0000 0.5000 0.0000
Er3 Er 0.5000 0.0000 0.0000
Er4 Er 0.5000 0.5000 0.5000
Ga1 Ga 0.0000 0.3035 0.3035
Ga2 Ga 0.0000 0.6965 0.6965
Ga3 Ga 0.2500 0.5000 0.7500
Ga4 Ga 0.2500 0.7500 0.5000
Ga5 Ga 0.3035 0.0000 0.3035
Ga6 Ga 0.3035 0.3035 0.0000
Ga7 Ga 0.5000 0.2500 0.7500
Ga8 Ga 0.5000 0.7500 0.2500
Ga9 Ga 0.6965 0.0000 0.6965
Ga10 Ga 0.6965 0.6965 0.0000
Ga11 Ga 0.7500 0.2500 0.5000
Ga12 Ga 0.7500 0.5000 0.2500
Ag1 Ag 0.0000 0.0000 0.0000
```

---

6.
Computed, not measured: a relaxed ErGaAg2 crystal at the GGA-PBE level of DFT.

Results
Volume, Å³ per cell: 331.11
SG: No. 63
Excess energy over the best structure of this formula in the dataset, meV/atom: 29
Formation enthalpy at 0 K, eV per atom: -0.30
D(E_F), states/eV/cell: 6.83
M_tot, μB/atom: 0.0000

Structure (CIF):
```
data_ErGaAg2
_space_group_name_H-M_alt 'P 1'
_space_group_IT_number 1
_cell_length_a 8.7359
_cell_length_b 8.7359
_cell_length_c 9.4702
_cell_angle_alpha 90.00
_cell_angle_beta 90.00
_cell_angle_gamma 152.73
loop_
_space_group_symop_operation_xyz
'x,y,z'
loop_
_atom_site_label
_atom_site_type_symbol
_atom_site_fract_x
_atom_site_fract_y
_atom_site_fract_z
Er1 Er 0.0000 0.0000 0.0000
Er2 Er 0.0000 0.0000 0.5000
Er3 Er 0.1862 0.8138 0.7500
Er4 Er 0.8138 0.1862 0.2500
Ga1 Ga 0.3655 0.6345 0.0259
Ga2 Ga 0.3655 0.6345 0.4741
Ga3 Ga 0.6345 0.3655 0.5259
Ga4 Ga 0.6345 0.3655 0.9741
Ag1 Ag 0.2059 0.7941 0.0941
Ag2 Ag 0.2059 0.7941 0.4059
Ag3 Ag 0.3852 0.6148 0.7500
Ag4 Ag 0.4554 0.5446 0.2500
Ag5 Ag 0.5446 0.4554 0.7500
Ag6 Ag 0.6148 0.3852 0.2500
Ag7 Ag 0.7941 0.2059 0.5941
Ag8 Ag 0.7941 0.2059 0.9059
```